# Sm2HoCo2B2C3 (PBE, optimized geometry)
data_Sm2HoCo2B2C3
_cell_length_a 10.600
_cell_length_b 10.600
_cell_length_c 10.600
_cell_angle_alpha 160.39
_cell_angle_beta 160.39
_cell_angle_gamma 27.87
_space_group_name_H-M_alt 'P 1'
_space_group_IT_number 1
_space_group_name_Hall 'P 1'
loop_
_atom_site_label
_atom_site_type_symbol
_atom_site_fract_x
_atom_site_fract_y
_atom_site_fract_z
Co1 Co 0.750 0.250 0.500
B1 B 0.805 0.805 0.000
C1 C 0.878 0.878 0.000
C2 C 0.122 0.122 0.000
Sm1 Sm 0.625 0.625 0.000
Sm2 Sm 0.375 0.375 0.000
C3 C 0.500 0.500 0.000
Ho1 Ho 0.000 0.000 0.000
B2 B 0.195 0.195 0.000
Co2 Co 0.250 0.750 0.500
# Total moment (μB per formula unit): 1.38
# E (Ry/atom): -0.52727
# Crystal system: tetragonal